## NaMgAuS2 (GGA-PBE)

Data for NaMgAuS2 after structural relaxation.

Cell: 5.865 5.898 6.772 Å, 90.00 90.20 90.00°
Positions (direct):
Na  0.000  0.002  0.250
Na  0.000  0.998  0.750
Mg  0.500  0.499  0.750
Mg  0.500  0.501  0.250
Au  0.500  0.000  0.000
Au  0.500  0.000  0.500
S  0.249  0.308  0.999
S  0.249  0.692  0.499
S  0.751  0.308  0.501
S  0.751  0.692  0.001

Calculated values
Electronic total energy ... -19.2 eV per formula unit
Formation energy (no corrections) ... -4.714 eV/f.u.
Mass density ... 4.4 g cm⁻³
Crystal system ... monoclinic
Fermi-level density of states ... 0.00 states/eV/atom